B3OsSe after structural relaxation, computed with PBE.

Structure (CIF):
```
data_B3OsSe
_chemical_formula_sum 'B3 Os1 Se1'
_cell_length_a 3.9894
_cell_length_b 3.9894
_cell_length_c 3.9894
_cell_angle_alpha 90.00
_cell_angle_beta 90.00
_cell_angle_gamma 90.00
_symmetry_space_group_name_H-M 'P m -3 m'
_symmetry_Int_Tables_number 221
_symmetry_space_group_name_Hall '-P 4 2 3'
loop_
_atom_site_label
_atom_site_fract_x
_atom_site_fract_y
_atom_site_fract_z
B1 0.0000 0.0000 0.5000
Os1 0.5000 0.5000 0.5000
Se1 0.0000 0.0000 0.0000
```

* spin magnetization: 1.2 μB per cell
* calculated density: 7.9 g/cm3
* uncorrected formation energy: 2429 meV/atom
* density of states at the Fermi level: 3.963 states/eV/cell
* E above lowest polymorph: 5.601 eV/f.u.
* final energy: -4.52 eV per atom
* volume: 12.7 Å³/atom

LaDy2Ho12 after structural relaxation, computed with PBE.

Structure (CIF):
```
data_LaDy2Ho12
_chemical_formula_sum 'La2 Dy4 Ho24'
_cell_length_a 6.3728
_cell_length_b 6.3728
_cell_length_c 25.0435
_cell_angle_alpha 90.00
_cell_angle_beta 90.00
_cell_angle_gamma 90.00
_symmetry_space_group_name_H-M 'P 4/n b m'
_symmetry_Int_Tables_number 125
loop_
_symmetry_equiv_pos_as_xyz
'x,y,z'
'-x,-y,-z'
'-y+1/2,x,z'
'y+1/2,-x,-z'
'-x+1/2,-y+1/2,z'
'x+1/2,y+1/2,-z'
'y,-x+1/2,z'
'-y,x+1/2,-z'
'x,-y+1/2,-z'
'-x,y+1/2,z'
'-y+1/2,-x+1/2,-z'
'y+1/2,x+1/2,z'
'-x+1/2,y,-z'
'x+1/2,-y,z'
'y,x,-z'
'-y,-x,z'
loop_
_atom_site_label
_atom_site_fract_x
_atom_site_fract_y
_atom_site_fract_z
La1 0.2500 0.7500 0.0000
Dy1 0.2500 0.7500 0.2769
Ho1 0.0674 0.5674 0.1202
Ho2 0.0813 0.5813 0.4397
Ho3 0.2500 0.2500 0.2185
Ho4 0.2500 0.2500 0.3414
```

* spin magnetization: 0.0 μB per cell
* calculated density: 8.0 g/cm3
* ΔH_f (0 K): 315 meV per atom
* density of states at the Fermi level: 43.722 states/eV/cell
* final energy: -4.29 eV per atom
* volume: 33.9 Å³/atom

Tb2MgC after structural relaxation, computed with PBE.

Structure (CIF):
```
data_Tb2MgC
_chemical_formula_sum 'Tb6 Mg3 C3'
_cell_length_a 3.5676
_cell_length_b 3.5676
_cell_length_c 26.1385
_cell_angle_alpha 90.00
_cell_angle_beta 90.00
_cell_angle_gamma 120.00
_symmetry_space_group_name_H-M 'R -3 m'
_symmetry_Int_Tables_number 166
_symmetry_space_group_name_Hall '-R 3 2"'
loop_
_atom_site_label
_atom_site_fract_x
_atom_site_fract_y
_atom_site_fract_z
Tb1 0.0000 0.0000 0.2190
Mg1 0.0000 0.0000 0.0000
C1 0.0000 0.0000 0.5000
```

* spin magnetization: 0.0 μB per cell
* calculated density: 6.1 g/cm3
* ΔH_f (0 K): -188 meV per atom
* density of states at the Fermi level: 12.055 states/eV/cell
* final energy: -5.21 eV per atom
* volume: 24.0 Å³/atom